# Y2MgNiSn (PBEsol, relaxed)
data_Y2MgNiSn
_chemical_formula_sum 'Y2 Mg1 Ni1 Sn1'
_space_group_name_H-M_alt 'P 4/m m m'
_space_group_IT_number 123
_space_group_name_Hall '-P 4 2'
_cell_length_a 5.622
_cell_length_b 5.622
_cell_length_c 4.976
_cell_angle_alpha 90.00
_cell_angle_beta 90.00
_cell_angle_gamma 90.00
loop_
_atom_site_label
_atom_site_type_symbol
_atom_site_fract_x
_atom_site_fract_y
_atom_site_fract_z
Y1 Y 0.000 0.500 0.000
Mg1 Mg 0.000 0.000 0.500
Ni1 Ni 0.500 0.500 0.500
Sn1 Sn 0.000 0.000 0.000
# Magnetic moment ... 0.000 μB per atom
# Mass density ... 4.01 g cm⁻³
# Energy of formation ... 0.69 eV per atom
# DOS at the Fermi energy ... 5.2 states/eV per cell